Material: TiNb2CoH
Method: DFT, PBE
State: optimized geometry

- E above lowest polymorph: 0 meV per atom
- Crystal system: tetragonal
- D(E_F): 5.6 states/eV per cell
- V: 13.0 A^3/atom
- Raw total energy: -7.77 eV/atom

Unit cell a=4.328 b=4.328 c=3.472 alpha=90.00 beta=90.00 gamma=90.00
Sites, in units of the cell vectors:
Ti1 0.000 0.000 0.000
Nb1 0.000 0.500 0.500
Nb2 0.500 0.000 0.500
Co1 0.500 0.500 0.000
H1 0.500 0.500 0.500

Material: Pr6Tl3Zn
Method: DFT, PBE
State: optimized geometry

- E above lowest polymorph: 50 meV per atom
- Crystal system: orthorhombic
- DFT formation energy: -223.5 meV per atom
- D(E_F): 26.7 states/eV per cell
- V: 31.7 A^3/atom
- Raw total energy: -3.93 eV/atom

Unit cell a=9.485 b=12.245 c=5.455 alpha=90.00 beta=90.00 gamma=90.00
Sites, in units of the cell vectors:
Pr1 0.001 0.243 0.000
Pr2 0.156 0.081 0.500
Pr3 0.177 0.421 0.500
Pr4 0.323 0.921 0.000
Pr5 0.344 0.581 0.000
Pr6 0.499 0.743 0.500
Pr7 0.501 0.257 0.500
Pr8 0.656 0.419 0.000
Pr9 0.677 0.079 0.000
Pr10 0.823 0.579 0.500
Pr11 0.844 0.919 0.500
Pr12 0.999 0.757 0.000
Tl1 0.000 0.500 0.000
Tl2 0.166 0.749 0.500
Tl3 0.334 0.249 0.000
Tl4 0.500 0.000 0.500
Tl5 0.666 0.751 0.000
Tl6 0.834 0.251 0.500
Zn1 0.000 0.000 0.000
Zn2 0.500 0.500 0.500

Question: What is the E above lowest polymorph in the first record?
Answer: 0 meV per atom